{
  "formula": "B2C",
  "functional": "GGA-PBE",
  "state": "optimized geometry",
  "total_magnetization_mub_per_atom": 0.00,
  "relative_energy_ev_per_fu": 0.20,
  "formation_enthalpy_0k_kj_per_mol_fu": 73,
  "lattice_angstrom": [[4.674, 0.000, 0.000], [0.000, 2.740, 0.000], [-0.041, 0.000, 7.132]],
  "species": ["B", "B", "B", "B", "B", "B", "B", "B", "C", "C", "C", "C"],
  "frac_coords": [[0.000, 0.000, 0.000], [0.042, 0.000, 0.773], [0.193, 0.500, 0.903], [0.237, 0.500, 0.667], [0.443, 0.000, 0.411], [0.591, 0.500, 0.042], [0.688, 0.000, 0.790], [0.944, 0.500, 0.389], [0.276, 0.500, 0.443], [0.531, 0.500, 0.815], [0.712, 0.000, 0.128], [0.775, 0.000, 0.351]]
}